{
  "formula": "Co2TcMo",
  "functional": "GGA-PBE",
  "state": "relaxed",
  "cell": [[1.336, 0.771, 8.589], [-1.336, 0.771, 8.589], [0.000, -1.542, 8.589]],
  "species": ["Co", "Co", "Tc", "Mo"],
  "fractional_positions": [[0.000, 0.000, 0.000], [0.258, 0.258, 0.258], [0.510, 0.510, 0.510], [0.750, 0.750, 0.750]],
  "vol_a3_per_cell": 53,
  "total_energy_ev_per_atom": -8.623,
  "delta_e_f_ev_per_atom": 0.229,
  "total_magnetization_mub_per_fu": 2.48,
  "n_ef_per_ev_atom": 1.2549
}